A plane-wave DFT calculation with PBE-GGA was carried out for a relaxed Na2AcAg crystal.

Output
Formation enthalpy at 0 K = 0.251 eV/atom

Unit cell a=3.5892 b=3.5892 c=36.0743 alpha=90.00 beta=90.00 gamma=120.00
Space group R-3m (No. 166, hexagonal axes)
One atom of each set of equivalent atoms:
Na 0.0000 0.0000 0.1012 [6 per cell]
Ac 0.0000 0.0000 0.0000 [3 per cell]
Ag 0.0000 0.0000 0.5000 [3 per cell]

---

A plane-wave DFT calculation with PBE-GGA was carried out for a relaxed Mn2FePd9 crystal.

Output
Formation enthalpy at 0 K = -0.187 eV/atom

Unit cell a=3.909 b=3.909 c=11.720 alpha=90.00 beta=90.00 gamma=90.00
Space group P4/mmm (No. 123)
One atom of each set of equivalent atoms:
Mn 0.000 0.000 0.167 [2 per cell]
Fe 0.000 0.000 0.500 [1 per cell]
Pd 0.000 0.500 0.000 [2 per cell]
Pd 0.000 0.500 0.336 [4 per cell]
Pd 0.500 0.500 0.168 [2 per cell]
Pd 0.500 0.500 0.500 [1 per cell]

---

A plane-wave DFT calculation with PBE-GGA was carried out for a relaxed AcVPd crystal.

Output
Formation enthalpy at 0 K = -0.017 eV/atom

Unit cell a=3.726 b=3.726 c=10.270 alpha=90.00 beta=90.00 gamma=90.00
Space group P4/mmm (No. 123)
One atom of each set of equivalent atoms:
Ac 0.000 0.000 0.185 [2 per cell]
V 0.500 0.500 0.408 [2 per cell]
Pd 0.000 0.000 0.500 [1 per cell]
Pd 0.500 0.500 0.000 [1 per cell]

---

A plane-wave DFT calculation with PBE-GGA was carried out for a relaxed ScCd2P crystal.

Output
Formation enthalpy at 0 K = -0.452 eV/atom

Unit cell a=3.649 b=3.743 c=12.749 alpha=90.00 beta=90.00 gamma=90.00
Space group Immm (No. 71)
One atom of each set of equivalent atoms:
Sc 0.000 0.000 0.000 [2 per cell]
Cd 0.000 0.500 0.196 [4 per cell]
P 0.000 0.000 0.500 [2 per cell]

---

A plane-wave DFT calculation with PBE-GGA was carried out for a relaxed Ca2MgSb2 crystal.

Output
ΔE_f (raw) = -0.693 eV per atom

Unit cell a=8.103 b=8.103 c=4.446 alpha=90.00 beta=90.00 gamma=90.00
Space group P4/mbm (No. 127)
One atom of each set of equivalent atoms:
Ca 0.149 0.351 0.000 [4 per cell]
Mg 0.000 0.000 0.500 [2 per cell]
Sb 0.160 0.660 0.500 [4 per cell]

---

A plane-wave DFT calculation with PBE-GGA was carried out for a relaxed Ni2AsIr crystal.

Output
Formation enthalpy at 0 K = 0.242 eV/atom

Unit cell a=2.783 b=4.674 c=8.297 alpha=90.00 beta=90.00 gamma=90.00
Space group Cmmm (No. 65)
One atom of each set of equivalent atoms:
Ni 0.000 0.000 0.241 [4 per cell]
As 0.000 0.500 0.000 [2 per cell]
Ir 0.000 0.500 0.500 [2 per cell]

---

A plane-wave DFT calculation with PBE-GGA was carried out for a relaxed Rb3Dy2TlSe6 crystal.

Output
ΔE_f (raw) = -1.321 eV per atom

Unit cell a=7.372 b=12.764 c=8.397 alpha=90.00 beta=107.00 gamma=90.00
Space group C2/m (No. 12)
One atom of each set of equivalent atoms:
Rb 0.000 0.000 0.000 [2 per cell]
Rb 0.000 0.335 0.000 [4 per cell]
Dy 0.000 0.167 0.500 [4 per cell]
Tl 0.000 0.500 0.500 [2 per cell]
Se 0.228 0.000 0.697 [4 per cell]
Se 0.234 0.331 0.697 [8 per cell]

---

A plane-wave DFT calculation with PBE-GGA was carried out for a relaxed SrMgSb2 crystal.

Output
ΔE_f (raw) = -0.713 eV per atom

Unit cell a=23.814 b=4.510 c=4.561 alpha=90.00 beta=90.00 gamma=90.00
Space group Pnma (No. 62)
One atom of each set of equivalent atoms:
Sr 0.110 0.250 0.225 [4 per cell]
Mg 0.250 0.250 0.725 [4 per cell]
Sb 0.002 0.250 0.714 [4 per cell]
Sb 0.173 0.750 0.725 [4 per cell]

---

A plane-wave DFT calculation with PBE-GGA was carried out for a relaxed TiNbMo2As crystal.

Output
Formation enthalpy at 0 K = 1.244 eV/atom

Unit cell a=4.588 b=4.588 c=4.605 alpha=90.00 beta=90.00 gamma=90.00
Space group P4/mmm (No. 123)
One atom of each set of equivalent atoms:
Ti 0.000 0.000 0.000 [1 per cell]
Nb 0.500 0.500 0.500 [1 per cell]
Mo 0.000 0.500 0.000 [2 per cell]
As 0.000 0.000 0.500 [1 per cell]

---

A plane-wave DFT calculation with PBE-GGA was carried out for a relaxed Ti2TlRhC crystal.

Output
Formation enthalpy at 0 K = 0.700 eV/atom

Unit cell a=4.956 b=4.956 c=3.834 alpha=90.00 beta=90.00 gamma=90.00
Space group P4/mmm (No. 123)
One atom of each set of equivalent atoms:
Ti 0.000 0.500 0.000 [2 per cell]
Tl 0.000 0.000 0.500 [1 per cell]
Rh 0.500 0.500 0.000 [1 per cell]
C 0.500 0.500 0.500 [1 per cell]

---

A plane-wave DFT calculation with PBE-GGA was carried out for a relaxed MgMoPd2W crystal.

Output
Formation enthalpy at 0 K = 1.805 eV/atom

Unit cell a=4.727 b=4.727 c=4.852 alpha=90.00 beta=90.00 gamma=90.00
Space group P4/mmm (No. 123)
One atom of each set of equivalent atoms:
Mg 0.000 0.000 0.000 [1 per cell]
Mo 0.000 0.000 0.500 [1 per cell]
Pd 0.000 0.500 0.500 [2 per cell]
W 0.500 0.500 0.000 [1 per cell]

---

A plane-wave DFT calculation with PBE-GGA was carried out for a relaxed NaV3Pd crystal.

Output
Formation enthalpy at 0 K = 1.207 eV/atom
Energy above the lowest structure with this stoichiometry = 0.000 eV per atom

Unit cell a=4.892 b=4.892 c=4.892 alpha=90.00 beta=90.00 gamma=90.00
Space group Pm-3m (No. 221)
One atom of each set of equivalent atoms:
Na 0.000 0.000 0.000 [1 per cell]
V 0.000 0.500 0.500 [3 per cell]
Pd 0.500 0.500 0.500 [1 per cell]

---

A plane-wave DFT calculation with PBE-GGA was carried out for a relaxed Pr2Sm4Si3O2 crystal.

Output
ΔE_f (raw) = -1.411 eV per atom

Unit cell a=4.662 b=4.662 c=24.424 alpha=90.00 beta=90.00 gamma=90.00
Space group I4/mmm (No. 139)
One atom of each set of equivalent atoms:
Pr 0.000 0.000 0.198 [4 per cell]
Sm 0.000 0.500 0.079 [8 per cell]
Si 0.000 0.000 0.327 [4 per cell]
Si 0.000 0.000 0.500 [2 per cell]
O 0.000 0.000 0.096 [4 per cell]

---

A plane-wave DFT calculation with PBE-GGA was carried out for a relaxed NdEr5Cu4 crystal.

Output
Formation enthalpy at 0 K = -0.215 eV/atom

Unit cell a=3.435 b=3.435 c=19.187 alpha=90.00 beta=90.00 gamma=90.00
Space group P4/mmm (No. 123)
One atom of each set of equivalent atoms:
Nd 0.000 0.000 0.000 [1 per cell]
Er 0.500 0.500 0.142 [2 per cell]
Er 0.500 0.500 0.319 [2 per cell]
Er 0.500 0.500 0.500 [1 per cell]
Cu 0.000 0.000 0.229 [2 per cell]
Cu 0.000 0.000 0.410 [2 per cell]

---

A plane-wave DFT calculation with PBE-GGA was carried out for a relaxed AcPuNiS4 crystal.

Output
ΔE_f (raw) = -1.447 eV per atom

Unit cell a=6.592 b=5.802 c=8.183 alpha=90.00 beta=107.31 gamma=90.00
Space group P2_1/m (No. 11)
One atom of each set of equivalent atoms:
Ac 0.234 0.250 0.432 [2 per cell]
Pu 0.249 0.250 0.943 [2 per cell]
Ni 0.265 0.750 0.180 [2 per cell]
S 0.073 0.750 0.368 [2 per cell]
S 0.077 0.750 0.910 [2 per cell]
S 0.485 0.510 0.764 [4 per cell]

---

A plane-wave DFT calculation with PBE-GGA was carried out for a relaxed ErTeSe crystal.

Output
ΔE_f (raw) = -1.378 eV per atom
Energy above the lowest structure with this stoichiometry = 0.000 eV per atom

Unit cell a=4.176 b=5.748 c=13.795 alpha=90.00 beta=90.00 gamma=90.00
Space group Immm (No. 71)
One atom of each set of equivalent atoms:
Er 0.000 0.000 0.155 [4 per cell]
Te 0.000 0.248 0.500 [4 per cell]
Se 0.000 0.500 0.212 [4 per cell]

---

A plane-wave DFT calculation with PBE-GGA was carried out for a relaxed Li3Br2Cl crystal.

Output
ΔE_f (raw) = -1.610 eV per atom
Energy above the lowest structure with this stoichiometry = 0.025 eV per atom

Unit cell a=3.806 b=5.411 c=11.469 alpha=90.00 beta=90.00 gamma=90.00
Space group Immm (No. 71)
One atom of each set of equivalent atoms:
Li 0.000 0.000 0.000 [2 per cell]
Li 0.000 0.000 0.345 [4 per cell]
Br 0.000 0.500 0.334 [4 per cell]
Cl 0.000 0.500 0.000 [2 per cell]

---

A plane-wave DFT calculation with PBE-GGA was carried out for a relaxed TiCr4Ir crystal.

Output
Formation enthalpy at 0 K = -0.106 eV/atom

Unit cell a=6.767 b=6.767 c=6.767 alpha=90.00 beta=90.00 gamma=90.00
Space group F-43m (No. 216)
One atom of each set of equivalent atoms:
Ti 0.000 0.000 0.000 [4 per cell]
Cr 0.127 0.127 0.627 [16 per cell]
Ir 0.250 0.250 0.250 [4 per cell]

---

A plane-wave DFT calculation with PBE-GGA was carried out for a relaxed HfCIN2 crystal.

Output
ΔE_f (raw) = 1.526 eV per atom
Energy above the lowest structure with this stoichiometry = 0.000 eV per atom

Unit cell a=4.032 b=4.032 c=6.356 alpha=90.00 beta=90.00 gamma=90.00
Space group P4/mmm (No. 123)
One atom of each set of equivalent atoms:
Hf 0.000 0.000 0.000 [1 per cell]
C 0.500 0.500 0.500 [1 per cell]
I 0.000 0.000 0.500 [1 per cell]
N 0.000 0.500 0.000 [2 per cell]

---

A plane-wave DFT calculation with PBE-GGA was carried out for a relaxed Rb2AuI crystal.

Output
ΔE_f (raw) = -0.860 eV per atom
Energy above the lowest structure with this stoichiometry = 0.016 eV per atom

Unit cell a=5.0467 b=5.0467 c=26.4025 alpha=90.00 beta=90.00 gamma=120.00
Space group R3m (No. 160, hexagonal axes)
One atom of each set of equivalent atoms:
Rb 0.0000 0.0000 0.0000 [3 per cell]
Rb 0.0000 0.0000 0.1745 [3 per cell]
Au 0.0000 0.0000 0.5869 [3 per cell]
I 0.0000 0.0000 0.7544 [3 per cell]

---

A plane-wave DFT calculation with PBE-GGA was carried out for a relaxed Gd3Pd2 crystal.

Output
Formation enthalpy at 0 K = -0.694 eV/atom

Unit cell a=7.878 b=7.878 c=3.986 alpha=90.00 beta=90.00 gamma=90.00
Space group P4/mbm (No. 127)
One atom of each set of equivalent atoms:
Gd 0.000 0.000 0.000 [2 per cell]
Gd 0.165 0.335 0.500 [4 per cell]
Pd 0.132 0.632 0.000 [4 per cell]

---

A plane-wave DFT calculation with PBE-GGA was carried out for a relaxed La8Tb3Er2 crystal.

Output
Formation enthalpy at 0 K = 0.144 eV/atom
Energy above the lowest structure with this stoichiometry = 0.000 eV per atom

Unit cell a=13.626 b=11.837 c=6.157 alpha=90.00 beta=112.65 gamma=90.00
Space group C2/m (No. 12)
One atom of each set of equivalent atoms:
La 0.085 0.000 0.236 [4 per cell]
La 0.139 0.500 0.611 [4 per cell]
La 0.162 0.261 0.150 [8 per cell]
Tb 0.000 0.226 0.500 [4 per cell]
Tb 0.000 0.500 0.000 [2 per cell]
Er 0.187 0.000 0.820 [4 per cell]

---

A plane-wave DFT calculation with PBE-GGA was carried out for a relaxed Nd2NbF crystal.

Output
ΔE_f (raw) = -0.598 eV per atom

Unit cell a=3.2185 b=3.2185 c=29.9809 alpha=90.00 beta=90.00 gamma=120.00
Space group R-3m (No. 166, hexagonal axes)
One atom of each set of equivalent atoms:
Nd 0.0000 0.0000 0.1005 [6 per cell]
Nb 0.0000 0.0000 0.0000 [3 per cell]
F 0.0000 0.0000 0.5000 [3 per cell]

---

A plane-wave DFT calculation with PBE-GGA was carried out for a relaxed Sc2Ga3Ru crystal.

Output
Formation enthalpy at 0 K = -0.606 eV/atom

Unit cell a=5.2634 b=5.2634 c=12.7476 alpha=90.00 beta=90.00 gamma=120.00
Space group R-3m (No. 166, hexagonal axes)
One atom of each set of equivalent atoms:
Sc 0.0000 0.0000 0.1279 [6 per cell]
Ga 0.0000 0.5000 0.0000 [9 per cell]
Ru 0.0000 0.0000 0.5000 [3 per cell]

---

A plane-wave DFT calculation with PBE-GGA was carried out for a relaxed PmYLuSn crystal.

Output
Formation enthalpy at 0 K = -0.196 eV/atom

Unit cell a=7.659 b=7.659 c=7.659 alpha=90.00 beta=90.00 gamma=90.00
Space group F-43m (No. 216)
One atom of each set of equivalent atoms:
Pm 0.000 0.000 0.000 [4 per cell]
Y 0.250 0.250 0.250 [4 per cell]
Lu 0.250 0.250 0.750 [4 per cell]
Sn 0.000 0.000 0.500 [4 per cell]

---

Results for total energy: -25.78; -75.78; -36.94; -30.76; -34.61; -48.21; -102.47; -57.50; -38.06; -31.23; -26.74; -27.83; -140.28; -46.11; -101.72; -61.29; -41.19; -223.55; -29.75; -30.60; -112.19; -121.13; -71.61; -103.97; -82.09 (in eV per cell, following the order of the records).
Results for magnetic moment: 0.00; 1.05; 0.00; 0.00; 0.00; 0.00; 0.00; 0.00; 0.00; 0.30; 0.62; 1.64; 0.00; 0.00; 0.60; 0.00; 0.00; 0.00; 0.25; 0.00; 1.42; 0.00; 0.27; 0.00; 0.30 (in μB per atom, following the order of the records).